# LiCo5O8, optimized geometry, DFT PBE with a Hubbard U
data_LiCo5O8
_cell_length_a 11.4692
_cell_length_b 11.4692
_cell_length_c 14.0290
_cell_angle_alpha 90.00
_cell_angle_beta 90.00
_cell_angle_gamma 120.00
_symmetry_space_group_name_H-M 'R 3'
_symmetry_Int_Tables_number 146
_symmetry_space_group_name_Hall 'R 3'
loop_
_atom_site_label
_atom_site_type_symbol
_atom_site_fract_x
_atom_site_fract_y
_atom_site_fract_z
_atom_site_occupancy
Li1 Li 0.0000 0.0000 0.0000 1
Li2 Li 0.9996 0.7506 0.5002 1
Co1 Co 0.0000 0.0000 0.3764 1
Co2 Co 0.0000 0.0000 0.6240 1
Co3 Co 0.0001 0.2533 0.5002 1
Co4 Co 0.0000 0.4986 0.0002 1
Co5 Co 0.9996 0.5044 0.3750 1
Co6 Co 0.0003 0.5047 0.6254 1
Co7 Co 0.0824 0.1656 0.1664 1
Co8 Co 0.1657 0.0824 0.8339 1
O1 O 0.0000 0.0000 0.2372 1
O2 O 0.0000 0.0000 0.7631 1
O3 O 0.0082 0.4947 0.7585 1
O4 O 0.0140 0.2557 0.2467 1
O5 O 0.0143 0.7663 0.2523 1
O6 O 0.0795 0.1831 0.4175 1
O7 O 0.0792 0.9200 0.9063 1
O8 O 0.0917 0.4110 0.4203 1
O9 O 0.0995 0.6810 0.4148 1
O10 O 0.1592 0.0800 0.0940 1
O11 O 0.1615 0.3415 0.5751 1
O12 O 0.1831 0.0793 0.5829 1
# Crystal system   trigonal
# Uncorrected energy   -984.34 eV/cell
# M_tot   96.32 μB/cell